Here is a geometry-optimized Na2CdIn5 structure from Alexandria via LeMat-Bulk. Energies are from PBE.

Cell lengths 4.7062, 4.7062, 18.9993 Å; angles 90.00, 90.00, 90.00 degrees
With the nearest neighbours (Å) after each atom.
Space group I4/mmm (No. 139)
One atom of each set of equivalent atoms:
Na  0.0000  0.0000  0.2496  4 Na 3.33, 8 In 3.41-3.42
Cd  0.0000  0.0000  0.0000  12 In 3.27-3.33
In  0.0000  0.0000  0.5000  8 In 3.27, 4 Cd 3.33
In  0.0000  0.5000  0.1195  2 Cd 3.27, 6 In 3.27-3.33, 4 Na 3.41-3.42

Output
ΔE_f (eV/atom): -0.054
Total magnetic moment (μB per formula unit): 0.00
Polymorph energy (0 for the lowest one) (kJ/mol of formula units): 4
Final energy (eV per atom): -2.209
Fermi-level density of states (states/eV per cell): 9.07